Below is an optimized crystal structure of Tb7Dy4Th, with properties calculated at the PBE level.

Results
E_form, eV/f.u.: 3.63
Crystal system: monoclinic

Cell: 5.934 11.510 6.724 Å, 83.55 63.81 75.06°
Atoms (fractional coordinates):
Tb 0.632 0.499 0.237
Tb 0.368 0.501 0.763
Tb 0.500 0.000 0.000
Tb 0.060 0.676 0.204
Tb 0.940 0.324 0.796
Tb 0.213 0.078 0.496
Tb 0.787 0.922 0.504
Dy 0.247 0.319 0.187
Dy 0.637 0.224 0.502
Dy 0.363 0.776 0.498
Dy 0.753 0.681 0.813
Th 0.000 0.000 0.000

Below is an optimized crystal structure of HPdSeN2, with properties calculated at the PBE level.

Results
Crystal system: tetragonal
Energy, eV per atom: -3.8380

Cell: 3.924 3.924 3.313 Å, 90.00 90.00 90.00°
Atoms (fractional coordinates):
N 0.000 0.500 0.000
N 0.500 0.000 0.000
Se 0.000 0.000 0.500
Pd 0.500 0.500 0.500
H 0.000 0.000 0.000

Below is an optimized crystal structure of LaErSc2In4, with properties calculated at the PBE level.

Results
E_form, eV/f.u.: -3.36
Crystal system: trigonal

Cell: 5.244 5.244 9.132 Å, 73.31 73.31 60.00°
Atoms (fractional coordinates):
In 0.128 0.128 0.617
In 0.622 0.622 0.135
In 0.872 0.872 0.383
In 0.378 0.378 0.865
Sc 0.751 0.751 0.748
Sc 0.249 0.249 0.252
La 0.000 0.000 0.000
Er 0.500 0.500 0.500

Below is an optimized crystal structure of TbCe2ZnC, with properties calculated at the PBE level.

Results
E_form, eV/f.u.: -0.68
Crystal system: tetragonal

Cell: 4.893 4.893 4.944 Å, 90.00 90.00 90.00°
Atoms (fractional coordinates):
Tb 0.000 0.000 0.500
Ce 0.000 0.500 0.000
Ce 0.500 0.000 0.000
C 0.000 0.000 0.000
Zn 0.500 0.500 0.500